Arrangement A

This record from Alexandria describes HfMgF2 after structural relaxation. The functional is PBE-GGA.

## Properties
Its density of states at the Fermi level is 0.415 states/eV per atom. The space group is R-3m, No. 166.

abc: 8.256 8.256 8.256
angles: 20.79 20.79 20.79
Atoms (fractional coordinates):
Mg  0.000  0.000  0.000
Hf  0.500  0.500  0.500
F  0.899  0.899  0.899
F  0.101  0.101  0.101



Arrangement B

This record from Alexandria describes HfMgF2 after structural relaxation. The functional is PBE-GGA.

## Properties
Its density of states at the Fermi level is 0.307 states/eV per atom. The space group is Fm-3m, No. 225.

abc: 4.409 4.409 4.409
angles: 60.00 60.00 60.00
Last column: magnetic moment on the atom in μB.
Atoms (fractional coordinates):
Mg  0.000  0.000  0.000  0.03
Hf  0.500  0.500  0.500  1.16
F  0.250  0.250  0.250  0.03
F  0.750  0.750  0.750  0.03



Most stable to least stable, the ends of the list are arrangement A and arrangement B.



Arrangement A

This record from Alexandria describes HfMgF2 after structural relaxation. The functional is PBE-GGA.

## Properties
Its density of states at the Fermi level is 0.803 states/eV per atom. The space group is I-42d, No. 122.

abc: 5.107 5.107 6.087
angles: 65.20 65.20 90.00
Atoms (fractional coordinates):
Mg  0.500  0.500  0.000
Mg  0.250  0.750  0.500
Hf  0.000  0.000  0.000
Hf  0.750  0.250  0.500
F  0.561  0.125  0.250
F  0.189  0.625  0.250
F  0.375  0.439  0.750
F  0.875  0.811  0.750



Arrangement B

This record from Alexandria describes HfMgF2 after structural relaxation. The functional is PBE-GGA.

## Properties
Its density of states at the Fermi level is 1.177 states/eV per atom. The space group is R-3m, No. 166.

abc: 7.150 7.150 7.150
angles: 25.37 25.37 25.37
Atoms (fractional coordinates):
Mg  0.500  0.500  0.500
Hf  0.000  0.000  0.000
F  0.877  0.877  0.877
F  0.123  0.123  0.123



Most stable to least stable, the ends of the list are arrangement B and arrangement A.



Arrangement A

This record from Alexandria describes HfMg3F after structural relaxation. The functional is PBE-GGA.

## Properties
Its density of states at the Fermi level is 1.651 states/eV per atom. The space group is Pm-3m, No. 221.

abc: 5.874 5.874 5.874
angles: 90.00 90.00 90.00
Last column: magnetic moment on the atom in μB.
Atoms (fractional coordinates):
Mg  0.000  0.500  0.000  0.01
Mg  0.000  0.000  0.500  0.00
Mg  0.500  0.000  0.000  0.02
Hf  0.000  0.000  0.000  0.56
F  0.500  0.500  0.500  0.03



Arrangement B

This record from Alexandria describes HfMg3F after structural relaxation. The functional is PBE-GGA.

## Properties
Its density of states at the Fermi level is 0.946 states/eV per atom. The space group is Pm-3m, No. 221.

abc: 4.551 4.551 4.551
angles: 90.00 90.00 90.00
Atoms (fractional coordinates):
Mg  0.000  0.500  0.000
Mg  0.000  0.000  0.500
Mg  0.500  0.000  0.000
Hf  0.500  0.500  0.500
F  0.000  0.000  0.000



Most stable to least stable, the ends of the list are arrangement B and arrangement A.



Arrangement A

This record from Alexandria describes HfMgF3 after structural relaxation. The functional is PBE-GGA.

## Properties
Its density of states at the Fermi level is 0.524 states/eV per atom. The space group is Pm-3m, No. 221.

abc: 4.336 4.336 4.336
angles: 90.00 90.00 90.00
Last column: magnetic moment on the atom in μB.
Atoms (fractional coordinates):
Mg  0.500  0.500  0.500  -0.01
Hf  0.000  0.000  0.000  0.75
F  0.000  0.500  0.000  0.00
F  0.000  0.000  0.500  -0.01
F  0.500  0.000  0.000  0.00



Arrangement B

This record from Alexandria describes HfMgF3 after structural relaxation. The functional is PBE-GGA.

## Properties
Its density of states at the Fermi level is 0.391 states/eV per atom. The space group is Pm-3m, No. 221.

abc: 4.093 4.093 4.093
angles: 90.00 90.00 90.00
Last column: magnetic moment on the atom in μB.
Atoms (fractional coordinates):
Mg  0.000  0.000  0.000  0.00
Hf  0.500  0.500  0.500  1.42
F  0.000  0.500  0.000  0.05
F  0.000  0.000  0.500  0.04
F  0.500  0.000  0.000  0.03



Most stable to least stable, the ends of the list are arrangement A and arrangement B.



Arrangement A

This record from Alexandria describes HfMgN2F after structural relaxation. The functional is PBE-GGA.

## Properties
Its density of states at the Fermi level is 0.476 states/eV per atom. The space group is P4/mmm, No. 123.

abc: 4.190 4.190 4.043
angles: 90.00 90.00 90.00
Atoms (fractional coordinates):
Mg  0.500  0.500  0.500
N  0.000  0.500  0.000
N  0.500  0.000  0.000
Hf  0.000  0.000  0.000
F  0.000  0.000  0.500



Arrangement B

This record from Alexandria describes HfMgN2F after structural relaxation. The functional is PBE-GGA.

## Properties
Its density of states at the Fermi level is 0.328 states/eV per atom. The space group is P4/mmm, No. 123.

abc: 3.951 3.951 3.534
angles: 90.00 90.00 90.00
Last column: magnetic moment on the atom in μB.
Atoms (fractional coordinates):
Mg  0.000  0.000  0.000  0.01
N  0.000  0.500  0.000  0.33
N  0.500  0.000  0.000  0.33
Hf  0.500  0.500  0.500  -0.04
F  0.000  0.000  0.500  0.01



Most stable to least stable, the ends of the list are arrangement A and arrangement B.